VASP calculation (PBE) on a geometry-optimized NaLa2InO5 structure.

Cell lengths 3.6162, 7.2041, 10.4183 Å; angles 90.00, 90.00, 104.54 degrees
Fractional coordinates of all 18 atoms:
Na 0.7800 0.5600 0.4977
Na 0.2200 0.4400 0.9977
La 0.8530 0.7061 0.7825
La 0.1136 0.2272 0.6884
La 0.1470 0.2939 0.2825
La 0.8864 0.7728 0.1884
In 0.5382 0.0765 0.9683
In 0.4618 0.9235 0.4683
O 0.3820 0.7641 0.0198
O 0.6775 0.3549 0.8515
O 0.4860 0.9719 0.7766
O 0.2820 0.5641 0.6734
O 0.9409 0.8819 0.5657
O 0.6180 0.2359 0.5198
O 0.3225 0.6451 0.3515
O 0.5140 0.0281 0.2766
O 0.7180 0.4359 0.1734
O 0.0591 0.1181 0.0657

DOS(E_F)	0.0	states/eV per cell
space group	No. 36
V	14.60	Å³/atom
M_tot	0.00	Bohr magnetons per cell
E_form (uncorrected)	-2537	meV per atom
E	-6.84	eV per atom

---

VASP calculation (PBE) on a geometry-optimized AsIr2Os structure.

Cell lengths 2.8102, 2.8102, 7.6559 Å; angles 90.00, 90.00, 90.00 degrees
Fractional coordinates of all 4 atoms:
As 0.5000 0.5000 0.7500
Ir 0.0000 0.0000 0.0105
Ir 0.0000 0.0000 0.4895
Os 0.5000 0.5000 0.2500

DOS(E_F)	2.8	states/eV per cell
space group	No. 123
V	15.12	Å³/atom
M_tot	0.00	Bohr magnetons per cell
formation enthalpy at 0 K	226	meV/atom
E	-8.17	eV per atom

---

VASP calculation (PBE) on a geometry-optimized Cd2SiRh structure.

Cell lengths 3.3420, 3.9426, 5.3477 Å; angles 90.00, 90.00, 90.00 degrees
Fractional coordinates of all 4 atoms:
Cd 0.0000 0.0000 0.0032
Cd 0.0000 0.0000 0.4968
Rh 0.5000 0.5000 0.2500
Si 0.5000 0.5000 0.7500

DOS(E_F)	1.1	states/eV per cell
space group	No. 47
V	17.62	Å³/atom
M_tot	0.00	Bohr magnetons per cell
E_form (uncorrected)	74	meV per atom
E	-3.58	eV per atom

---

VASP calculation (PBE) on a geometry-optimized Pr4GeTe2Cl2 structure.

Cell lengths 4.3546, 9.2645, 8.7036 Å; angles 122.25, 90.00, 103.59 degrees
Fractional coordinates of all 9 atoms:
Pr 0.8004 0.6007 0.7935
Pr 0.1996 0.3993 0.2065
Pr 0.5158 0.0316 0.2438
Pr 0.4842 0.9684 0.7562
Ge 0.0000 0.0000 0.0000
Te 0.8460 0.6920 0.4696
Te 0.1540 0.3080 0.5304
Cl 0.3308 0.6616 0.0649
Cl 0.6692 0.3384 0.9351

DOS(E_F)	2.2	states/eV per cell
space group	No. 12
V	31.70	Å³/atom
M_tot	0.00	Bohr magnetons per cell
E_form (uncorrected)	-1451	meV per atom
E	-5.20	eV per atom

---

VASP calculation (PBE) on a geometry-optimized BaBi3Pb3 structure.

Cell lengths 8.7639, 8.7639, 8.7639 Å; angles 90.00, 90.00, 90.00 degrees
Fractional coordinates of all 14 atoms:
Pb 0.2500 0.0000 0.5000
Pb 0.0000 0.5000 0.2500
Pb 0.5000 0.7500 0.0000
Pb 0.7500 0.0000 0.5000
Pb 0.0000 0.5000 0.7500
Pb 0.5000 0.2500 0.0000
Bi 0.0000 0.2500 0.5000
Bi 0.0000 0.7500 0.5000
Bi 0.5000 0.0000 0.7500
Bi 0.7500 0.5000 0.0000
Bi 0.5000 0.0000 0.2500
Bi 0.2500 0.5000 0.0000
Ba 0.5000 0.5000 0.5000
Ba 0.0000 0.0000 0.0000

DOS(E_F)	7.2	states/eV per cell
space group	No. 223
V	48.08	Å³/atom
M_tot	0.00	Bohr magnetons per cell
formation enthalpy at 0 K	66	meV/atom
E	-3.46	eV per atom
distance to the lowest polymorph of the same formula	257.5	meV/atom

---

VASP calculation (PBE) on a geometry-optimized Mg2TcNi structure.

Cell lengths 4.8146, 4.8146, 4.8146 Å; angles 131.56, 131.56, 70.92 degrees
Fractional coordinates of all 4 atoms:
Mg 0.0000 0.0000 0.0000
Mg 0.2500 0.7500 0.5000
Ni 0.5000 0.5000 0.0000
Tc 0.7500 0.2500 0.5000

DOS(E_F)	4.6	states/eV per cell
space group	No. 119
V	15.30	Å³/atom
M_tot	1.24	Bohr magnetons per cell
formation enthalpy at 0 K	245	meV/atom
E	-4.59	eV per atom
distance to the lowest polymorph of the same formula	179.4	meV/atom

---

VASP calculation (PBE) on a geometry-optimized RbMn2Be structure.

Cell lengths 5.4678, 5.4678, 8.3362 Å; angles 70.86, 70.86, 90.00 degrees
Fractional coordinates of all 8 atoms:
Be 0.5000 0.5000 0.0000
Be 0.2500 0.7500 0.5000
Mn 0.3750 0.1250 0.2500
Mn 0.3750 0.6250 0.2500
Mn 0.3750 0.6250 0.7500
Mn 0.8750 0.6250 0.7500
Rb 0.0000 0.0000 0.0000
Rb 0.7500 0.2500 0.5000

DOS(E_F)	6.7	states/eV per cell
space group	No. 141
V	27.60	Å³/atom
M_tot	15.26	Bohr magnetons per cell
formation enthalpy at 0 K	1085	meV/atom
E	-4.67	eV per atom

---

VASP calculation (PBE) on a geometry-optimized MnTe2Au structure.

Cell lengths 4.3428, 4.3428, 5.4910 Å; angles 90.00, 90.00, 120.00 degrees
Fractional coordinates of all 4 atoms:
Te 0.3333 0.6667 0.7880
Te 0.6667 0.3333 0.3486
Au 0.0000 0.0000 0.0148
Mn 0.3333 0.6667 0.3036

DOS(E_F)	6.1	states/eV per cell
space group	No. 156
V	22.42	Å³/atom
M_tot	0.00	Bohr magnetons per cell
E_form (uncorrected)	201	meV per atom
E	-4.48	eV per atom
distance to the lowest polymorph of the same formula	291.0	meV/atom

---

VASP calculation (PBE) on a geometry-optimized HfTeIr structure.

Cell lengths 3.1768, 4.5711, 10.4357 Å; angles 97.25, 98.57, 90.00 degrees
Fractional coordinates of all 6 atoms:
Te 0.3340 0.3381 0.1607
Te 0.6660 0.6619 0.8393
Ir 0.5440 0.7944 0.5900
Ir 0.4560 0.2056 0.4100
Hf 0.9354 0.7193 0.3679
Hf 0.0646 0.2807 0.6321

DOS(E_F)	2.5	states/eV per cell
space group	No. 2
V	24.77	Å³/atom
M_tot	0.00	Bohr magnetons per cell
E_form (uncorrected)	-717	meV per atom
E	-8.04	eV per atom
distance to the lowest polymorph of the same formula	0.0	meV/atom

---

VASP calculation (PBE) on a geometry-optimized Ba2NiHg structure.

Cell lengths 8.4520, 8.4520, 8.4520 Å; angles 148.38, 148.98, 44.88 degrees
Fractional coordinates of all 4 atoms:
Ba 0.9925 0.9925 0.0000
Ba 0.7504 0.2504 0.5000
Hg 0.4186 0.4186 0.0000
Ni 0.3385 0.8385 0.5000

DOS(E_F)	2.7	states/eV per cell
space group	No. 44
V	40.65	Å³/atom
M_tot	0.00	Bohr magnetons per cell
formation enthalpy at 0 K	-96	meV/atom
E	-2.58	eV per atom

---

VASP calculation (PBE) on a geometry-optimized ZrV2CoSn structure.

Cell lengths 4.5302, 5.3633, 4.5302 Å; angles 90.00, 90.00, 90.00 degrees
Fractional coordinates of all 5 atoms:
Co 0.5000 0.5000 0.5000
Sn 0.0000 0.5000 0.0000
Zr 0.0000 0.0000 0.0000
V 0.0000 0.0000 0.5000
V 0.5000 0.0000 0.0000

DOS(E_F)	9.8	states/eV per cell
space group	No. 123
V	22.01	Å³/atom
M_tot	0.00	Bohr magnetons per cell
formation enthalpy at 0 K	1833	meV/atom
E	-5.75	eV per atom

---

VASP calculation (PBE) on a geometry-optimized Cs2ZrCoS4 structure.

Cell lengths 5.8558, 7.7586, 13.2528 Å; angles 85.22, 77.24, 67.83 degrees
Fractional coordinates of all 16 atoms:
Cs 0.1759 0.0000 0.6482
Cs 0.8241 0.0000 0.3518
Cs 0.5741 0.5000 0.8518
Cs 0.9259 0.5000 0.1482
Zr 0.7500 0.5000 0.5000
Zr 0.0000 0.0000 0.0000
Co 0.2500 0.5000 0.5000
Co 0.5000 0.0000 0.0000
S 0.3084 0.8155 0.0996
S 0.2235 0.1845 0.9004
S 0.8761 0.8155 0.9004
S 0.5920 0.1845 0.0996
S 0.4416 0.6845 0.4004
S 0.5265 0.3155 0.5996
S 0.8739 0.6845 0.5996
S 0.1580 0.3155 0.4004

DOS(E_F)	4.5	states/eV per cell
space group	No. 70
V	33.99	Å³/atom
M_tot	6.02	Bohr magnetons per cell
E_form (uncorrected)	-1135	meV per atom
E	-5.37	eV per atom

---

Which formula does entry 8 have?
MnTe2Au